1.
Density functional theory data (PBE-GGA) for a relaxed NdEuInGa crystal.

The structure in CIF format:
```
data_NdEuInGa
_cell_length_a 7.649
_cell_length_b 7.649
_cell_length_c 7.649
_cell_angle_alpha 90.00
_cell_angle_beta 90.00
_cell_angle_gamma 90.00
_space_group_name_H-M_alt 'F -4 3 m'
_space_group_IT_number 216
_space_group_name_Hall 'F -4 2 3'
loop_
_atom_site_label
_atom_site_fract_x
_atom_site_fract_y
_atom_site_fract_z
Nd1 0.000 0.000 0.000
Eu1 0.000 0.000 0.500
In1 0.250 0.250 0.750
Ga1 0.250 0.250 0.250
```

Calculated formation energy: -0.45 eV per atom
Size of the total moment: 29.48 Bohr magnetons per cell

2.
Density functional theory data (PBE-GGA) for a relaxed ZnGaSbI2 crystal.

The structure in CIF format:
```
data_ZnGaSbI2
_cell_length_a 5.700
_cell_length_b 5.700
_cell_length_c 5.501
_cell_angle_alpha 90.00
_cell_angle_beta 90.00
_cell_angle_gamma 90.00
_space_group_name_H-M_alt 'P 4/m m m'
_space_group_IT_number 123
_space_group_name_Hall '-P 4 2'
loop_
_atom_site_label
_atom_site_fract_x
_atom_site_fract_y
_atom_site_fract_z
Zn1 0.000 0.000 0.000
Ga1 0.500 0.500 0.500
Sb1 0.500 0.500 0.000
I1 0.000 0.500 0.500
```

Size of the total moment: 0.95 Bohr magnetons per cell
Offset from the most stable computed form: 12.34 kJ per mole of atoms

3.
Density functional theory data (PBE-GGA) for a relaxed BaCuS6 crystal.

The structure in CIF format:
```
data_BaCuS6
_cell_length_a 5.276
_cell_length_b 5.988
_cell_length_c 7.262
_cell_angle_alpha 95.23
_cell_angle_beta 110.41
_cell_angle_gamma 96.79
_space_group_name_H-M_alt 'P -1'
_space_group_IT_number 2
_space_group_name_Hall '-P 1'
loop_
_atom_site_label
_atom_site_fract_x
_atom_site_fract_y
_atom_site_fract_z
Ba1 0.000 0.000 0.000
Cu1 0.500 0.500 0.000
S1 0.249 0.562 0.182
S2 0.335 0.265 0.688
S3 0.341 0.929 0.711
```

Total DFT energy (no corrections): -0.1581 Ha/atom
Size of the total moment: 0.00 Bohr magnetons per cell

4.
Density functional theory data (PBE-GGA) for a relaxed BaAlAs2S8 crystal.

The structure in CIF format:
```
data_BaAlAs2S8
_cell_length_a 6.0519
_cell_length_b 6.0519
_cell_length_c 8.9585
_cell_angle_alpha 90.00
_cell_angle_beta 90.00
_cell_angle_gamma 120.00
_space_group_name_H-M_alt 'P -3'
_space_group_IT_number 147
_space_group_name_Hall '-P 3'
loop_
_atom_site_label
_atom_site_fract_x
_atom_site_fract_y
_atom_site_fract_z
Ba1 0.0000 0.0000 0.0000
Al1 0.0000 0.0000 0.5000
As1 0.3333 0.6667 0.7296
S1 0.0151 0.7027 0.3265
S2 0.3333 0.6667 0.9725
```

Total DFT energy (no corrections): -0.1646 Ha/atom
Size of the total moment: 0.02 Bohr magnetons per cell

5.
Density functional theory data (PBE-GGA) for a relaxed Cd2NiCl crystal.

The structure in CIF format:
```
data_Cd2NiCl
_cell_length_a 3.085
_cell_length_b 4.517
_cell_length_c 11.934
_cell_angle_alpha 90.00
_cell_angle_beta 90.00
_cell_angle_gamma 90.00
_space_group_name_H-M_alt 'I m m 2'
_space_group_IT_number 44
_space_group_name_Hall 'I 2 -2'
loop_
_atom_site_label
_atom_site_fract_x
_atom_site_fract_y
_atom_site_fract_z
Cd1 0.000 0.000 0.000
Cd2 0.000 0.500 0.166
Ni1 0.000 0.000 0.484
Cl1 0.000 0.500 0.820
```

Size of the total moment: 0.00 Bohr magnetons per cell
Offset from the most stable computed form: 9.78 kJ per mole of atoms

6.
Density functional theory data (PBE-GGA) for a relaxed SrRu2Cl crystal.

The structure in CIF format:
```
data_SrRu2Cl
_cell_length_a 5.124
_cell_length_b 10.950
_cell_length_c 2.979
_cell_angle_alpha 90.00
_cell_angle_beta 90.00
_cell_angle_gamma 90.00
_space_group_name_H-M_alt 'C m m m'
_space_group_IT_number 65
_space_group_name_Hall '-C 2 2'
loop_
_atom_site_label
_atom_site_fract_x
_atom_site_fract_y
_atom_site_fract_z
Sr1 0.000 0.000 0.000
Ru1 0.250 0.250 0.500
Cl1 0.000 0.500 0.000
```

Size of the total moment: 1.76 Bohr magnetons per cell
Offset from the most stable computed form: 77.10 kJ per mole of atoms

7.
Density functional theory data (PBE-GGA) for a relaxed BaZrAlRh2 crystal.

The structure in CIF format:
```
data_BaZrAlRh2
_cell_length_a 4.649
_cell_length_b 4.649
_cell_length_c 5.430
_cell_angle_alpha 90.00
_cell_angle_beta 90.00
_cell_angle_gamma 90.00
_space_group_name_H-M_alt 'P 4/m m m'
_space_group_IT_number 123
_space_group_name_Hall '-P 4 2'
loop_
_atom_site_label
_atom_site_fract_x
_atom_site_fract_y
_atom_site_fract_z
Ba1 0.000 0.000 0.000
Zr1 0.500 0.500 0.000
Al1 0.000 0.000 0.500
Rh1 0.000 0.500 0.500
```

Calculated formation energy: 0.65 eV per atom
Size of the total moment: 1.86 Bohr magnetons per cell
Offset from the most stable computed form: 34.51 kJ per mole of atoms

8.
Density functional theory data (PBE-GGA) for a relaxed NaSb3Pb3 crystal.

The structure in CIF format:
```
data_NaSb3Pb3
_cell_length_a 8.618
_cell_length_b 8.618
_cell_length_c 8.618
_cell_angle_alpha 90.00
_cell_angle_beta 90.00
_cell_angle_gamma 90.00
_space_group_name_H-M_alt 'P m -3 n'
_space_group_IT_number 223
_space_group_name_Hall '-P 4n 2 3'
loop_
_atom_site_label
_atom_site_fract_x
_atom_site_fract_y
_atom_site_fract_z
Na1 0.000 0.000 0.000
Sb1 0.000 0.250 0.500
Pb1 0.000 0.500 0.250
```

Size of the total moment: 0.00 Bohr magnetons per cell
Offset from the most stable computed form: 21.52 kJ per mole of atoms